1.
A relaxed structure of BiP2NCl. Source: the Alexandria database, functional PBE.

Cell: 3.946 3.946 5.917 Å, 90.00 90.00 90.00°
Space group P4/mmm (No. 123)
Unique sites:
1 Bi 0.000 0.000 0.000 (multiplicity 1)
2 P 0.000 0.500 0.500 (multiplicity 2)
3 N 0.500 0.500 0.500 (multiplicity 1)
4 Cl 0.500 0.500 0.000 (multiplicity 1)

## Properties
Its uncorrected formation energy is 0.784 eV/atom. As for the total moment: 0.00 μB per formula unit. As for the excess energy over the best structure of this formula in the dataset: 0 meV per atom.

2.
A relaxed structure of V4RuS8. Source: the Alexandria database, functional PBE.

Cell: 6.4550 6.4550 18.6042 Å, 90.00 90.00 120.00°
Space group R-3m (No. 166, hexagonal axes)
Unique sites:
1 V 0.0000 0.0000 0.0000 (multiplicity 3)
2 V 0.0000 0.5000 0.0000 (multiplicity 9)
3 Ru 0.0000 0.0000 0.5000 (multiplicity 3)
4 S 0.0000 0.0000 0.2550 (multiplicity 6)
5 S 0.0106 0.5053 0.2535 (multiplicity 18)

## Properties
Its uncorrected formation energy is -0.673 eV/atom. As for the total moment: 1.16 μB per formula unit.